1.
## PuHfNi2 (PBE)

Data for PuHfNi2 after structural relaxation.

Distance to the lowest polymorph of the same formula, meV/atom: 132
E_form, eV/atom: -0.1382
Calculated density, kg/m3: 12862

abc: 6.533 6.533 6.533
angles: 90.00 90.00 90.00
Space group Fm-3m (No. 225)
Symmetry-distinct sites (fractional):
1 Pu 0.000 0.000 0.000
2 Hf 0.000 0.000 0.500
3 Ni 0.250 0.250 0.250

2.
## Tb2Y3Er7 (PBE)

Data for Tb2Y3Er7 after structural relaxation.

Distance to the lowest polymorph of the same formula, meV/atom: 0
E_form, eV/atom: 0.1061
Calculated density, kg/m3: 7697

abc: 5.649 37.379 3.587
angles: 90.00 90.00 90.00
Space group Cmmm (No. 65)
Symmetry-distinct sites (fractional):
1 Tb 0.000 0.147 0.000
2 Y 0.000 0.315 0.500
3 Y 0.000 0.500 0.500
4 Er 0.000 0.000 0.000
5 Er 0.000 0.071 0.500
6 Er 0.000 0.231 0.000
7 Er 0.000 0.409 0.000